No. 1
# PBE MgPPd, optimized geometry
data_MgPPd
_space_group_name_H-M_alt 'P 1'
_space_group_IT_number 1
_cell_length_a 3.436
_cell_length_b 4.098
_cell_length_c 4.098
_cell_angle_alpha 120.00
_cell_angle_beta 90.00
_cell_angle_gamma 90.00
loop_
_space_group_symop_operation_xyz
'x,y,z'
loop_
_atom_site_label
_atom_site_type_symbol
_atom_site_fract_x
_atom_site_fract_y
_atom_site_fract_z
P1 P 0.166 0.000 0.000
Mg1 Mg 0.667 0.667 0.333
Pd1 Pd 0.166 0.333 0.667
# ΔH_f (0 K) (eV/f.u.): -1.6
# DOS at the Fermi energy (states/eV/f.u.): 0.99
# SG: No. 187

=====

No. 2
# PBE MgPPd3, optimized geometry
data_MgPPd3
_space_group_name_H-M_alt 'P 1'
_space_group_IT_number 1
_cell_length_a 4.499
_cell_length_b 4.499
_cell_length_c 4.499
_cell_angle_alpha 90.00
_cell_angle_beta 90.00
_cell_angle_gamma 90.00
loop_
_space_group_symop_operation_xyz
'x,y,z'
loop_
_atom_site_label
_atom_site_type_symbol
_atom_site_fract_x
_atom_site_fract_y
_atom_site_fract_z
P1 P 0.000 0.000 0.000
Pd1 Pd 0.000 0.000 0.500
Pd2 Pd 0.500 0.000 0.000
Pd3 Pd 0.000 0.500 0.000
Mg1 Mg 0.500 0.500 0.500
# Energy above the most stable polymorph in this dataset (meV/atom): 147
# ΔH_f (0 K) (eV/f.u.): -2.1
# DOS at the Fermi energy (states/eV/f.u.): 1.89
# SG: No. 221

=====

No. 3
# PBE Mg3PPd, optimized geometry
data_Mg3PPd
_space_group_name_H-M_alt 'P 1'
_space_group_IT_number 1
_cell_length_a 4.791
_cell_length_b 4.791
_cell_length_c 4.791
_cell_angle_alpha 90.00
_cell_angle_beta 90.00
_cell_angle_gamma 90.00
loop_
_space_group_symop_operation_xyz
'x,y,z'
loop_
_atom_site_label
_atom_site_type_symbol
_atom_site_fract_x
_atom_site_fract_y
_atom_site_fract_z
Mg1 Mg 0.000 0.000 0.500
Mg2 Mg 0.500 0.000 0.000
P1 P 0.000 0.000 0.000
Pd1 Pd 0.500 0.500 0.500
Mg3 Mg 0.000 0.500 0.000
# Energy above the most stable polymorph in this dataset (meV/atom): 0
# ΔH_f (0 K) (eV/f.u.): -0.3
# DOS at the Fermi energy (states/eV/f.u.): 2.98
# SG: No. 221

=====

No. 4
# PBE MgPPd3, optimized geometry
data_MgPPd3
_space_group_name_H-M_alt 'P 1'
_space_group_IT_number 1
_cell_length_a 4.586
_cell_length_b 4.586
_cell_length_c 4.586
_cell_angle_alpha 90.00
_cell_angle_beta 90.00
_cell_angle_gamma 90.00
loop_
_space_group_symop_operation_xyz
'x,y,z'
loop_
_atom_site_label
_atom_site_type_symbol
_atom_site_fract_x
_atom_site_fract_y
_atom_site_fract_z
P1 P 0.500 0.500 0.500
Pd1 Pd 0.000 0.000 0.500
Pd2 Pd 0.500 0.000 0.000
Mg1 Mg 0.000 0.000 0.000
Pd3 Pd 0.000 0.500 0.000
# Energy above the most stable polymorph in this dataset (meV/atom): 1308
# ΔH_f (0 K) (eV/f.u.): 3.7
# DOS at the Fermi energy (states/eV/f.u.): 2.52
# SG: No. 221

=====

No. 5
# PBE Mg4PPd3, optimized geometry
data_Mg4PPd3
_space_group_name_H-M_alt 'P 1'
_space_group_IT_number 1
_cell_length_a 4.487
_cell_length_b 4.487
_cell_length_c 7.966
_cell_angle_alpha 73.64
_cell_angle_beta 73.64
_cell_angle_gamma 60.00
loop_
_space_group_symop_operation_xyz
'x,y,z'
loop_
_atom_site_label
_atom_site_type_symbol
_atom_site_fract_x
_atom_site_fract_y
_atom_site_fract_z
Pd1 Pd 0.754 0.754 0.738
Mg1 Mg 0.125 0.125 0.625
Mg2 Mg 0.875 0.875 0.375
Pd2 Pd 0.500 0.500 0.500
Mg3 Mg 0.377 0.377 0.869
Pd3 Pd 0.246 0.246 0.262
P1 P 0.000 0.000 0.000
Mg4 Mg 0.623 0.623 0.131
# ΔH_f (0 K) (eV/f.u.): -4.8
# DOS at the Fermi energy (states/eV/f.u.): 2.57
# SG: No. 166

=====

No. 6
# PBE MgP2Pd3, optimized geometry
data_MgP2Pd3
_space_group_name_H-M_alt 'P 1'
_space_group_IT_number 1
_cell_length_a 3.728
_cell_length_b 8.523
_cell_length_c 9.859
_cell_angle_alpha 108.56
_cell_angle_beta 90.00
_cell_angle_gamma 102.63
loop_
_space_group_symop_operation_xyz
'x,y,z'
loop_
_atom_site_label
_atom_site_type_symbol
_atom_site_fract_x
_atom_site_fract_y
_atom_site_fract_z
P1 P 0.367 0.733 0.553
Pd1 Pd 0.381 0.762 0.821
Pd2 Pd 0.500 0.000 0.500
Mg1 Mg 0.149 0.297 0.687
P2 P 0.801 0.603 0.870
Mg2 Mg 0.851 0.703 0.313
Pd3 Pd 0.767 0.535 0.618
P3 P 0.199 0.397 0.130
P4 P 0.548 0.096 0.772
Pd4 Pd 0.233 0.465 0.382
P5 P 0.633 0.267 0.447
Pd5 Pd 0.955 0.911 0.687
Pd6 Pd 0.045 0.089 0.313
Pd7 Pd 0.682 0.364 0.950
Pd8 Pd 0.619 0.238 0.179
Pd9 Pd 0.318 0.636 0.050
Mg3 Mg 0.000 0.000 0.000
P6 P 0.452 0.904 0.228
# ΔH_f (0 K) (eV/f.u.): -3.1
# DOS at the Fermi energy (states/eV/f.u.): 2.20
# SG: No. 12

=====

No. 7
# PBE Mg2P6Pd21, optimized geometry
data_Mg2P6Pd21
_space_group_name_H-M_alt 'P 1'
_space_group_IT_number 1
_cell_length_a 8.552
_cell_length_b 8.552
_cell_length_c 8.552
_cell_angle_alpha 60.00
_cell_angle_beta 60.00
_cell_angle_gamma 60.00
loop_
_space_group_symop_operation_xyz
'x,y,z'
loop_
_atom_site_label
_atom_site_type_symbol
_atom_site_fract_x
_atom_site_fract_y
_atom_site_fract_z
Pd1 Pd 0.344 0.656 0.000
Pd2 Pd 0.656 0.000 0.000
Pd3 Pd 0.656 0.344 0.000
Mg1 Mg 0.250 0.250 0.250
P1 P 0.264 0.264 0.736
Pd4 Pd 0.000 0.656 0.344
P2 P 0.736 0.736 0.264
Pd5 Pd 0.383 0.383 0.383
Pd6 Pd 0.852 0.383 0.383
Pd7 Pd 0.000 0.344 0.000
Pd8 Pd 0.148 0.617 0.617
Pd9 Pd 0.000 0.000 0.000
P3 P 0.736 0.264 0.736
Mg2 Mg 0.750 0.750 0.750
P4 P 0.264 0.736 0.736
Pd10 Pd 0.383 0.852 0.383
Pd11 Pd 0.000 0.344 0.656
P5 P 0.736 0.264 0.264
Pd12 Pd 0.000 0.000 0.344
Pd13 Pd 0.344 0.000 0.656
Pd14 Pd 0.383 0.383 0.852
Pd15 Pd 0.344 0.000 0.000
Pd16 Pd 0.000 0.000 0.656
Pd17 Pd 0.617 0.617 0.617
P6 P 0.264 0.736 0.264
Pd18 Pd 0.617 0.617 0.148
Pd19 Pd 0.656 0.000 0.344
Pd20 Pd 0.617 0.148 0.617
Pd21 Pd 0.000 0.656 0.000
# ΔH_f (0 K) (eV/f.u.): -15.5
# DOS at the Fermi energy (states/eV/f.u.): 8.86
# SG: No. 225

=====

No. 8
# PBE Mg2PPd5, optimized geometry
data_Mg2PPd5
_space_group_name_H-M_alt 'P 1'
_space_group_IT_number 1
_cell_length_a 4.120
_cell_length_b 5.543
_cell_length_c 10.554
_cell_angle_alpha 90.00
_cell_angle_beta 90.00
_cell_angle_gamma 90.00
loop_
_space_group_symop_operation_xyz
'x,y,z'
loop_
_atom_site_label
_atom_site_type_symbol
_atom_site_fract_x
_atom_site_fract_y
_atom_site_fract_z
Pd1 Pd 0.000 0.416 0.772
Pd2 Pd 0.000 0.084 0.272
Mg1 Mg 0.500 0.152 0.853
P1 P 0.000 0.000 0.500
Mg2 Mg 0.500 0.848 0.147
Pd3 Pd 0.000 0.916 0.728
Pd4 Pd 0.000 0.000 0.000
Mg3 Mg 0.500 0.348 0.353
Pd5 Pd 0.500 0.177 0.597
Pd6 Pd 0.500 0.823 0.403
Pd7 Pd 0.000 0.500 0.500
Pd8 Pd 0.000 0.584 0.228
Pd9 Pd 0.500 0.323 0.097
Mg4 Mg 0.500 0.652 0.647
Pd10 Pd 0.500 0.677 0.903
P2 P 0.000 0.500 0.000
# Energy above the most stable polymorph in this dataset (meV/atom): 0
# ΔH_f (0 K) (eV/f.u.): -5.0
# DOS at the Fermi energy (states/eV/f.u.): 2.16
# SG: No. 55

=====

No. 9
# PBE Mg4PPd2, optimized geometry
data_Mg4PPd2
_space_group_name_H-M_alt 'P 1'
_space_group_IT_number 1
_cell_length_a 4.861
_cell_length_b 4.861
_cell_length_c 7.355
_cell_angle_alpha 70.70
_cell_angle_beta 70.70
_cell_angle_gamma 90.00
loop_
_space_group_symop_operation_xyz
'x,y,z'
loop_
_atom_site_label
_atom_site_type_symbol
_atom_site_fract_x
_atom_site_fract_y
_atom_site_fract_z
Pd1 Pd 0.392 0.392 0.216
Mg1 Mg 0.195 0.195 0.609
Mg2 Mg 0.805 0.805 0.391
Pd2 Pd 0.608 0.608 0.784
P1 P 0.000 0.000 0.000
Mg3 Mg 0.000 0.500 0.000
Mg4 Mg 0.500 0.000 0.000
# ΔH_f (0 K) (eV/f.u.): -1.3
# DOS at the Fermi energy (states/eV/f.u.): 3.03
# SG: No. 139

=====

No. 10
# PBE Mg3P2Pd3, optimized geometry
data_Mg3P2Pd3
_space_group_name_H-M_alt 'P 1'
_space_group_IT_number 1
_cell_length_a 5.261
_cell_length_b 7.013
_cell_length_c 14.575
_cell_angle_alpha 90.00
_cell_angle_beta 90.00
_cell_angle_gamma 90.00
loop_
_space_group_symop_operation_xyz
'x,y,z'
loop_
_atom_site_label
_atom_site_type_symbol
_atom_site_fract_x
_atom_site_fract_y
_atom_site_fract_z
Pd1 Pd 0.101 0.177 0.526
Mg1 Mg 0.105 0.181 0.750
Pd2 Pd 0.601 0.323 0.026
Mg2 Mg 0.605 0.319 0.250
P1 P 0.634 0.621 0.385
P2 P 0.134 0.879 0.615
Pd3 Pd 0.399 0.677 0.526
P3 P 0.366 0.379 0.885
Pd4 Pd 0.886 0.818 0.750
Pd5 Pd 0.899 0.823 0.026
P4 P 0.134 0.879 0.885
Mg3 Mg 0.621 0.027 0.613
Mg4 Mg 0.379 0.973 0.387
P5 P 0.634 0.621 0.115
Mg5 Mg 0.895 0.819 0.250
Mg6 Mg 0.621 0.027 0.887
Pd6 Pd 0.101 0.177 0.974
Mg7 Mg 0.379 0.973 0.113
Pd7 Pd 0.114 0.182 0.250
Pd8 Pd 0.399 0.677 0.974
Pd9 Pd 0.614 0.318 0.750
Mg8 Mg 0.879 0.527 0.613
Pd10 Pd 0.386 0.682 0.250
P6 P 0.366 0.379 0.615
Pd11 Pd 0.601 0.323 0.474
P7 P 0.866 0.121 0.115
Mg9 Mg 0.121 0.473 0.387
P8 P 0.866 0.121 0.385
Mg10 Mg 0.395 0.681 0.750
Mg11 Mg 0.879 0.527 0.887
Mg12 Mg 0.121 0.473 0.113
Pd12 Pd 0.899 0.823 0.474
# ΔH_f (0 K) (eV/f.u.): -4.9
# DOS at the Fermi energy (states/eV/f.u.): 2.33
# SG: No. 62

=====

No. 11
# PBE MgPPd, optimized geometry
data_MgPPd
_space_group_name_H-M_alt 'P 1'
_space_group_IT_number 1
_cell_length_a 3.863
_cell_length_b 6.446
_cell_length_c 11.537
_cell_angle_alpha 90.55
_cell_angle_beta 90.00
_cell_angle_gamma 90.00
loop_
_space_group_symop_operation_xyz
'x,y,z'
loop_
_atom_site_label
_atom_site_type_symbol
_atom_site_fract_x
_atom_site_fract_y
_atom_site_fract_z
Mg1 Mg 0.250 0.471 0.620
Mg2 Mg 0.750 0.020 0.286
Pd1 Pd 0.250 0.975 0.091
Mg3 Mg 0.250 0.980 0.714
P1 P 0.250 0.722 0.250
Mg4 Mg 0.750 0.652 0.086
Mg5 Mg 0.250 0.348 0.914
P2 P 0.750 0.278 0.750
Pd2 Pd 0.750 0.160 0.545
Pd3 Pd 0.250 0.343 0.220
P3 P 0.250 0.228 0.421
Pd4 Pd 0.750 0.657 0.780
Pd5 Pd 0.750 0.025 0.909
P4 P 0.750 0.772 0.579
Mg6 Mg 0.750 0.529 0.380
P5 P 0.250 0.753 0.917
P6 P 0.750 0.247 0.083
Pd6 Pd 0.250 0.840 0.455
# ΔH_f (0 K) (eV/f.u.): -1.8
# DOS at the Fermi energy (states/eV/f.u.): 1.38
# SG: No. 11

=====

No. 12
# PBE MgPPd, optimized geometry
data_MgPPd
_space_group_name_H-M_alt 'P 1'
_space_group_IT_number 1
_cell_length_a 3.262
_cell_length_b 4.291
_cell_length_c 8.408
_cell_angle_alpha 116.90
_cell_angle_beta 101.18
_cell_angle_gamma 90.00
loop_
_space_group_symop_operation_xyz
'x,y,z'
loop_
_atom_site_label
_atom_site_type_symbol
_atom_site_fract_x
_atom_site_fract_y
_atom_site_fract_z
Pd1 Pd 0.562 0.865 0.124
P1 P 0.721 0.092 0.441
Mg1 Mg 0.901 0.574 0.801
Pd2 Pd 0.438 0.135 0.876
P2 P 0.279 0.908 0.559
Mg2 Mg 0.099 0.426 0.199
# ΔH_f (0 K) (eV/f.u.): -1.6
# DOS at the Fermi energy (states/eV/f.u.): 0.62
# SG: No. 12

=====

Question: The highest DOS at the Fermi energy belongs to which entry?
Answer: Mg2P6Pd21